DFT (GGA-PBE) results for a relaxed SmTl2SnTe4 crystal.

Unit cell a=7.976 b=4.443 c=8.377 alpha=90.00 beta=108.26 gamma=90.00
Space group P2/m (No. 10)
One atom of each set of equivalent atoms:
Sm: 0.000 0.000 0.000 (multiplicity 1)
Tl: 0.000 0.500 0.500 (multiplicity 1)
Tl: 0.500 0.000 0.500 (multiplicity 1)
Sn: 0.500 0.500 0.000 (multiplicity 1)
Te: 0.242 0.500 0.219 (multiplicity 2)
Te: 0.258 0.000 0.780 (multiplicity 2)

Calculated values
density = 7.0 g cm⁻³
formation energy without anion corrections = -0.6440 eV per atom
crystal system = monoclinic
total magnetization = 0.00 μB/f.u.
E = -3.897 eV/atom